[1]
DFT (PBE-GGA) results for crystalline Pm12Pr6Er at its relaxed geometry.

The structure in POSCAR format:
```
Pm12Pr6Er
1.0
6.155 3.554 5.104
-6.155 3.554 5.104
0.000 -7.107 5.104
Pm Pr Er
12 6 1
Cartesian
-1.076 -1.802 2.907
-1.022 1.832 2.907
-1.502 -1.566 6.377
2.098 -0.031 2.907
-2.107 0.517 8.935
-0.606 2.084 6.377
0.606 -2.084 8.935
2.107 -0.517 6.377
-2.098 0.031 12.406
1.502 1.566 8.935
1.022 -1.832 12.406
1.076 1.802 12.406
-3.716 0.947 5.383
1.038 -3.692 5.383
-2.678 -2.745 9.930
2.678 2.745 5.383
-1.038 3.692 9.930
3.716 -0.947 9.930
0.000 0.000 0.000
```

Properties
Energy above the lowest structure with this stoichiometry = 0 meV per atom
Raw total energy = -4.620 eV per atom
E_form = 0.130 eV per atom
Symmetry = R-3, No. 148
Theoretical density = 6.8 Mg/m³

=====

[2]
DFT (PBE-GGA) results for crystalline Pm5Pr5Er at its relaxed geometry.

The structure in POSCAR format:
```
Pm5Pr5Er
1.0
6.261 0.000 0.000
-3.131 5.423 0.000
0.000 0.000 11.661
Pm Pr Er
5 5 1
Cartesian
0.000 0.000 0.000
0.000 3.615 3.681
0.000 3.615 7.980
3.131 1.808 1.844
3.131 1.808 9.817
0.000 0.000 3.066
0.000 0.000 8.594
1.598 0.922 5.830
4.664 0.922 5.830
3.131 3.578 5.830
0.000 3.615 0.000
```

Properties
Raw total energy = -4.437 eV per atom
E_form = 0.310 eV per atom
Symmetry = P-6m2, No. 187
Theoretical density = 6.7 Mg/m³

=====

[3]
DFT (PBE-GGA) results for crystalline Pm2PrEr9 at its relaxed geometry.

The structure in POSCAR format:
```
Pm2PrEr9
1.0
5.016 0.000 0.000
0.000 5.016 0.000
0.000 0.000 15.046
Pm Pr Er
2 1 9
Cartesian
0.000 0.000 2.506
0.000 0.000 12.540
0.000 0.000 7.523
0.000 2.508 0.000
0.000 2.508 5.002
0.000 2.508 10.044
2.508 0.000 0.000
2.508 0.000 5.002
2.508 0.000 10.044
2.508 2.508 2.501
2.508 2.508 7.523
2.508 2.508 12.545
```

Properties
Energy above the lowest structure with this stoichiometry = 0 meV per atom
Raw total energy = -4.587 eV per atom
E_form = 0.025 eV per atom
Symmetry = P4/mmm, No. 123
Theoretical density = 8.5 Mg/m³